This record from Alexandria describes a relaxed structure of Sm2Tm2Te2Se3. The functional is PBE.

Cell and atoms, written as POSCAR:
```
Sm2Tm2Te2Se3
1.0
-0.632 5.515 0.022
-4.478 -0.526 3.238
7.172 -1.992 4.835
Se Te Sm Tm
3 2 2 2
Cartesian
0.070 -0.011 4.852
0.000 0.000 0.000
1.993 3.009 3.244
-1.581 2.601 2.994
3.643 0.397 5.102
1.786 0.195 2.501
0.276 2.803 5.595
-0.316 2.757 0.011
-2.239 -0.263 1.619
```

Properties
- Space group: I4/mmm, No. 139
- Crystal system: tetragonal



This record from Alexandria describes a relaxed structure of SmTmTeSe. The functional is PBE.

Cell and atoms, written as POSCAR:
```
SmTmTeSe
1.0
-3.063 -0.785 -2.590
3.878 -0.405 -1.235
0.708 -6.428 4.335
Sm Se Te Tm
1 1 1 1
Cartesian
3.413 -1.040 -1.103
1.817 -5.986 2.283
-1.226 -3.329 -1.376
-0.488 -4.604 1.363
```

Properties
- Space group: R3m, No. 160
- Crystal system: trigonal



This record from Alexandria describes a relaxed structure of SmTmTeSe2. The functional is PBE.

Cell and atoms, written as POSCAR:
```
SmTmTeSe2
1.0
-3.974 1.135 -2.118
0.818 -3.210 -3.256
-1.851 -3.757 6.551
Sm Se Te Tm
1 2 1 1
Cartesian
-0.929 -1.298 1.047
-3.723 -1.860 0.898
-1.327 -4.032 0.329
-1.593 -1.058 -2.670
-4.020 -4.451 0.065
```

Properties
- Space group: I4mm, No. 107
- Crystal system: tetragonal



This record from Alexandria describes a relaxed structure of Sm2U2Te2Se5. The functional is PBE.

Cell and atoms, written as POSCAR:
```
Sm2U2Te2Se5
1.0
-1.339 -5.150 1.453
0.399 -1.590 -5.267
12.821 0.653 3.662
Te U Se Sm
2 2 5 2
Cartesian
5.464 -1.202 0.776
6.417 -4.885 -0.928
2.616 -0.575 0.372
9.264 -5.511 -0.524
2.956 -1.401 -2.242
0.000 0.000 0.000
2.087 -3.181 1.118
9.793 -2.905 -1.270
8.924 -4.685 2.090
8.391 -1.846 1.192
3.489 -4.241 -1.344
```

Properties
- Space group: I4/mmm, No. 139
- Crystal system: tetragonal



Energy relative to the elements, uncorrected
In order: -12.416; -6.153; -6.604; -12.592
Unit: eV per formula unit